1.
The following is a DFT calculation (GGA-PBE) of an optimized crystal structure of TbGdErSc.

Values from the calculation:
Total magnetic moment in μB/atom: 1.863
Energy of formation in eV per atom: 0.11
Raw total energy in eV/atom: -7.295

a b c (Å): 7.820 7.820 7.820
angles (deg): 90.00 90.00 90.00
Space group F-43m (No. 216)
Symmetry-distinct sites (fractional):
Tb: 0.000 0.000 0.000
Gd: 0.000 0.000 0.500
Er: 0.250 0.250 0.250
Sc: 0.250 0.250 0.750

***

2.
The following is a DFT calculation (GGA-PBE) of an optimized crystal structure of GdYErSc.

Values from the calculation:
Total magnetic moment in μB/atom: 1.889
Energy of formation in eV per atom: 0.11
Raw total energy in eV/atom: -7.747

a b c (Å): 7.832 7.832 7.832
angles (deg): 90.00 90.00 90.00
Space group F-43m (No. 216)
Symmetry-distinct sites (fractional):
Gd: 0.000 0.000 0.000
Y: 0.000 0.000 0.500
Er: 0.250 0.250 0.250
Sc: 0.250 0.250 0.750

***

3.
The following is a DFT calculation (GGA-PBE) of an optimized crystal structure of GdErScZn.

Values from the calculation:
Total magnetic moment in μB/atom: 1.866
Energy of formation in eV per atom: -0.01
Raw total energy in eV/atom: -6.571

a b c (Å): 7.368 7.368 7.368
angles (deg): 90.00 90.00 90.00
Space group F-43m (No. 216)
Symmetry-distinct sites (fractional):
Gd: 0.000 0.000 0.000
Er: 0.000 0.000 0.500
Sc: 0.250 0.250 0.250
Zn: 0.250 0.250 0.750

***

4.
The following is a DFT calculation (GGA-PBE) of an optimized crystal structure of GdEr2Se.

Values from the calculation:
Energy above the most stable polymorph in this dataset in meV per atom: 0
Total magnetic moment in μB/atom: 1.882
Formation energy (no corrections) in eV/f.u.: -2.7
Raw total energy in eV/atom: -7.341

a b c (Å): 3.570 3.570 8.533
angles (deg): 90.00 90.00 90.00
Space group P4/mmm (No. 123)
Symmetry-distinct sites (fractional):
Gd: 0.000 0.000 0.000
Er: 0.500 0.500 0.293
Se: 0.000 0.000 0.500

***

5.
The following is a DFT calculation (GGA-PBE) of an optimized crystal structure of GdErSe2.

Values from the calculation:
Total magnetic moment in μB/atom: 1.715
Formation energy (no corrections) in eV/f.u.: -7.1
Raw total energy in eV/atom: -8.185

a b c (Å): 4.0854 4.0854 19.9830
angles (deg): 90.00 90.00 120.00
Space group R-3m (No. 166, hexagonal axes)
Symmetry-distinct sites (fractional):
Gd: 0.0000 0.0000 0.0000
Er: 0.0000 0.0000 0.5000
Se: 0.0000 0.0000 0.2474

***

6.
The following is a DFT calculation (GGA-PBE) of an optimized crystal structure of GdEr2Se.

Values from the calculation:
Energy above the most stable polymorph in this dataset in meV per atom: 111
Total magnetic moment in μB/atom: 1.992
Formation energy (no corrections) in eV/f.u.: -2.2
Raw total energy in eV/atom: -7.230

a b c (Å): 3.6815 3.6815 30.8043
angles (deg): 90.00 90.00 120.00
Space group R-3m (No. 166, hexagonal axes)
Symmetry-distinct sites (fractional):
Gd: 0.0000 0.0000 0.0000
Er: 0.0000 0.0000 0.1079
Se: 0.0000 0.0000 0.5000